Material: Sc2FeO
Method: DFT, PBE with a Hubbard U
State: relaxed

Properties
DFT total energy: -6.5610 eV per atom
M_tot: 1.844 μB/cell

abc: 7.9457 7.9457 7.9457
angles: 25.73 25.73 25.73
Last column: nearest neighbours and their distance in Å.
Sites, in units of the cell vectors:
1 Sc 0.9184 0.9184 0.9184  1 O 1.88
2 Sc 0.0816 0.0816 0.0816  1 O 1.88
3 Fe 0.5000 0.5000 0.5000  6 Sc 2.83
4 O 0.0000 0.0000 0.0000  2 Sc 1.88